DFT (GGA-PBE) results for a relaxed LuPuTcOs crystal.

Crystal system ... cubic
ΔE_f ... -0.1143 eV/atom

a = 6.706 Å, b = 6.706 Å, c = 6.706 Å
α = 90.00°, β = 90.00°, γ = 90.00°
Atoms (fractional coordinates):
Lu1 0.000 0.000 0.000
Lu2 0.000 0.500 0.500
Lu3 0.500 0.000 0.500
Lu4 0.500 0.500 0.000
Pu1 0.000 0.000 0.500
Pu2 0.000 0.500 0.000
Pu3 0.500 0.000 0.000
Pu4 0.500 0.500 0.500
Tc1 0.250 0.250 0.750
Tc2 0.250 0.750 0.250
Tc3 0.750 0.250 0.250
Tc4 0.750 0.750 0.750
Os1 0.250 0.250 0.250
Os2 0.250 0.750 0.750
Os3 0.750 0.250 0.750
Os4 0.750 0.750 0.250



DFT (GGA-PBE) results for a relaxed LuPuZnOs crystal.

Crystal system ... cubic
ΔE_f ... -0.1569 eV/atom

a = 6.859 Å, b = 6.859 Å, c = 6.859 Å
α = 90.00°, β = 90.00°, γ = 90.00°
Atoms (fractional coordinates):
Lu1 0.000 0.000 0.000
Lu2 0.000 0.500 0.500
Lu3 0.500 0.000 0.500
Lu4 0.500 0.500 0.000
Pu1 0.000 0.000 0.500
Pu2 0.000 0.500 0.000
Pu3 0.500 0.000 0.000
Pu4 0.500 0.500 0.500
Zn1 0.250 0.250 0.750
Zn2 0.250 0.750 0.250
Zn3 0.750 0.250 0.250
Zn4 0.750 0.750 0.750
Os1 0.250 0.250 0.250
Os2 0.250 0.750 0.750
Os3 0.750 0.250 0.750
Os4 0.750 0.750 0.250



DFT (GGA-PBE) results for a relaxed LuPuZrOs crystal.

Crystal system ... cubic
ΔE_f ... 0.1007 eV/atom

a = 6.932 Å, b = 6.932 Å, c = 6.932 Å
α = 90.00°, β = 90.00°, γ = 90.00°
Atoms (fractional coordinates):
Lu1 0.000 0.000 0.000
Lu2 0.000 0.500 0.500
Lu3 0.500 0.000 0.500
Lu4 0.500 0.500 0.000
Pu1 0.250 0.250 0.750
Pu2 0.250 0.750 0.250
Pu3 0.750 0.250 0.250
Pu4 0.750 0.750 0.750
Zr1 0.000 0.000 0.500
Zr2 0.000 0.500 0.000
Zr3 0.500 0.000 0.000
Zr4 0.500 0.500 0.500
Os1 0.250 0.250 0.250
Os2 0.250 0.750 0.750
Os3 0.750 0.250 0.750
Os4 0.750 0.750 0.250



Number 1: total moment 3.8 μB per formula unit. Number 2: total moment 5.2 μB per formula unit. Number 3: total moment 5.7 μB per formula unit.